{"formula": "Y2BeRu2", "functional": "PBE", "state": "optimized geometry", "rho_g_cm3": 6.18, "magnetic_moment_mub_per_cell": 0.0, "ef_mev_per_atom": 221, "de_polymorph_ev_per_atom": 0.571, "lattice_angstrom": [[-2.944, 0.404, -4.537], [0.845, -5.260, -1.017], [-3.980, -3.252, -0.949]], "species": ["Y", "Y", "Ru", "Ru", "Be"], "fractional_positions": [[0.250, 0.750, 0.500], [0.750, 0.250, 0.500], [0.681, 0.681, 0.639], [0.319, 0.319, 0.361], [0.000, 0.000, 0.000]]}



{"formula": "Ba2NiPd", "functional": "PBE", "state": "optimized geometry", "rho_g_cm3": 6.27, "magnetic_moment_mub_per_cell": 0.1, "ef_mev_per_atom": -97, "de_polymorph_ev_per_atom": 0.162, "lattice_angstrom": [[-2.905, 1.760, 1.876], [-3.513, -3.725, -1.944], [0.919, -3.154, 4.382]], "species": ["Ba", "Ba", "Ni", "Pd"], "fractional_positions": [[0.000, 0.000, 0.500], [0.000, 0.500, 0.000], [0.500, 0.500, 0.500], [0.500, 0.000, 0.000]]}



{"formula": "LiTlCo3", "functional": "PBE", "state": "optimized geometry", "rho_g_cm3": 9.37, "magnetic_moment_mub_per_cell": 3.6, "ef_mev_per_atom": 939, "de_polymorph_ev_per_atom": 0.000, "lattice_angstrom": [[4.098, 0.000, 0.000], [0.000, 4.098, 0.000], [0.000, 0.000, 4.098]], "species": ["Co", "Co", "Co", "Li", "Tl"], "fractional_positions": [[0.000, 0.000, 0.500], [0.500, 0.000, 0.000], [0.000, 0.500, 0.000], [0.000, 0.000, 0.000], [0.500, 0.500, 0.500]]}



{"formula": "PuCd4Au2", "functional": "PBE", "state": "optimized geometry", "rho_g_cm3": 11.14, "magnetic_moment_mub_per_cell": 11.5, "ef_mev_per_atom": -209, "lattice_angstrom": [[-2.668, -1.990, -2.839], [6.369, -0.286, -5.785], [2.446, -7.661, 3.071]], "species": ["Au", "Au", "Au", "Au", "Cd", "Cd", "Cd", "Cd", "Cd", "Cd", "Cd", "Cd", "Pu", "Pu"], "fractional_positions": [[0.500, 0.316, 0.316], [0.000, 0.184, 0.816], [0.500, 0.684, 0.684], [0.000, 0.816, 0.184], [0.500, 0.155, 0.599], [0.500, 0.401, 0.845], [0.000, 0.655, 0.901], [0.000, 0.099, 0.345], [0.500, 0.599, 0.155], [0.500, 0.845, 0.401], [0.000, 0.901, 0.655], [0.000, 0.345, 0.099], [0.000, 0.500, 0.500], [0.500, 0.000, 0.000]]}



{"formula": "HfCu6Au12", "functional": "PBE", "state": "optimized geometry", "rho_g_cm3": 14.35, "magnetic_moment_mub_per_cell": 0.0, "ef_mev_per_atom": 40, "lattice_angstrom": [[7.215, -0.344, -0.413], [-1.434, 7.079, -0.413], [-1.434, -1.671, 6.892]], "species": ["Cu", "Cu", "Cu", "Cu", "Cu", "Cu", "Au", "Au", "Au", "Au", "Au", "Au", "Au", "Au", "Au", "Au", "Au", "Au", "Hf"], "fractional_positions": [[0.573, 0.743, 0.819], [0.257, 0.181, 0.427], [0.427, 0.257, 0.181], [0.181, 0.427, 0.257], [0.819, 0.573, 0.743], [0.743, 0.819, 0.573], [0.183, 0.529, 0.639], [0.156, 0.684, 0.031], [0.316, 0.969, 0.844], [0.844, 0.316, 0.969], [0.529, 0.639, 0.183], [0.817, 0.471, 0.361], [0.031, 0.156, 0.684], [0.471, 0.361, 0.817], [0.684, 0.031, 0.156], [0.361, 0.817, 0.471], [0.969, 0.844, 0.316], [0.639, 0.183, 0.529], [0.000, 0.000, 0.000]]}



{"formula": "ZrNb2W", "functional": "PBE", "state": "optimized geometry", "rho_g_cm3": 9.56, "magnetic_moment_mub_per_cell": 0.0, "ef_mev_per_atom": 622, "de_polymorph_ev_per_atom": 0.586, "lattice_angstrom": [[7.477, 0.000, 0.000], [0.000, 7.477, 0.000], [3.738, 3.738, 2.865]], "species": ["Zr", "Zr", "Nb", "Nb", "Nb", "Nb", "W", "W"], "fractional_positions": [[0.250, 0.750, 0.500], [0.500, 0.500, 0.000], [0.099, 0.625, 0.250], [0.375, 0.349, 0.750], [0.651, 0.125, 0.250], [0.875, 0.901, 0.750], [0.750, 0.250, 0.500], [0.000, 0.000, 0.000]]}



{"formula": "HfNi3Pt4", "functional": "PBE", "state": "optimized geometry", "rho_g_cm3": 16.32, "magnetic_moment_mub_per_cell": 1.5, "ef_mev_per_atom": -517, "de_polymorph_ev_per_atom": 0.000, "lattice_angstrom": [[-2.890, 2.648, 0.042], [-1.187, -1.351, 3.485], [7.764, 5.600, -1.805]], "species": ["Ni", "Ni", "Ni", "Hf", "Pt", "Pt", "Pt", "Pt"], "fractional_positions": [[0.753, 0.758, 0.505], [0.000, 0.500, 0.000], [0.247, 0.242, 0.495], [0.500, 0.000, 0.000], [0.370, 0.111, 0.741], [0.630, 0.889, 0.259], [0.130, 0.389, 0.259], [0.870, 0.611, 0.741]]}



{"formula": "LaDy2Hf", "functional": "PBE", "state": "optimized geometry", "rho_g_cm3": 9.00, "magnetic_moment_mub_per_cell": 0.0, "ef_mev_per_atom": 124, "de_polymorph_ev_per_atom": 0.000, "lattice_angstrom": [[-1.298, -2.041, 2.468], [2.090, -2.088, 1.792], [1.922, 6.925, 9.157]], "species": ["La", "Hf", "Dy", "Dy"], "fractional_positions": [[0.500, 0.500, 0.499], [0.666, 0.666, 0.001], [0.258, 0.258, 0.227], [0.076, 0.076, 0.773]]}



{"formula": "La5Hg2Pd", "functional": "PBE", "state": "optimized geometry", "rho_g_cm3": 8.17, "magnetic_moment_mub_per_cell": 0.0, "ef_mev_per_atom": -438, "lattice_angstrom": [[5.366, 0.000, 0.000], [0.000, 7.035, 0.000], [0.000, 0.000, 12.936]], "species": ["La", "La", "La", "La", "La", "La", "La", "La", "La", "La", "Hg", "Hg", "Hg", "Hg", "Pd", "Pd"], "fractional_positions": [[0.500, 0.661, 0.402], [0.500, 0.339, 0.598], [0.000, 0.365, 0.290], [0.000, 0.500, 0.000], [0.000, 0.635, 0.710], [0.500, 0.161, 0.098], [0.000, 0.000, 0.500], [0.000, 0.135, 0.790], [0.000, 0.865, 0.210], [0.500, 0.839, 0.902], [0.500, 0.114, 0.352], [0.500, 0.614, 0.148], [0.500, 0.386, 0.852], [0.500, 0.886, 0.648], [0.000, 0.500, 0.500], [0.000, 0.000, 0.000]]}



{"formula": "CeBe6Au12", "functional": "PBE", "state": "optimized geometry", "rho_g_cm3": 13.65, "magnetic_moment_mub_per_cell": 1.2, "ef_mev_per_atom": -168, "lattice_angstrom": [[-0.808, -7.032, 0.003], [1.333, 1.668, -6.749], [6.114, 1.124, 3.387]], "species": ["Au", "Au", "Au", "Au", "Au", "Au", "Au", "Au", "Au", "Au", "Au", "Au", "Be", "Be", "Be", "Be", "Be", "Be", "Ce"], "fractional_positions": [[0.565, 0.565, 0.825], [0.825, 0.565, 0.565], [0.500, 0.874, 0.126], [0.874, 0.126, 0.500], [0.126, 0.500, 0.874], [0.126, 0.874, 0.500], [0.175, 0.435, 0.435], [0.565, 0.825, 0.565], [0.874, 0.500, 0.126], [0.435, 0.175, 0.435], [0.435, 0.435, 0.175], [0.500, 0.126, 0.874], [0.758, 0.758, 0.320], [0.320, 0.758, 0.758], [0.680, 0.242, 0.242], [0.758, 0.320, 0.758], [0.242, 0.680, 0.242], [0.242, 0.242, 0.680], [0.000, 0.000, 0.000]]}



{"formula": "Ac8InGe5", "functional": "PBE", "state": "optimized geometry", "rho_g_cm3": 7.99, "magnetic_moment_mub_per_cell": 0.0, "ef_mev_per_atom": -624, "lattice_angstrom": [[8.525, 0.027, -0.047], [-2.859, 8.031, 0.047], [-2.807, -4.047, 6.958]], "species": ["Ac", "Ac", "Ac", "Ac", "Ac", "Ac", "Ac", "Ac", "Ge", "Ge", "Ge", "Ge", "Ge", "In"], "fractional_positions": [[0.256, 0.242, 0.364], [0.630, 0.378, 0.875], [0.125, 0.755, 0.504], [0.636, 0.892, 0.878], [0.122, 0.758, 0.014], [0.496, 0.622, 0.251], [0.986, 0.108, 0.744], [0.749, 0.245, 0.370], [0.873, 0.876, 0.250], [0.500, 0.000, 0.500], [0.750, 0.623, 0.626], [0.003, 0.377, 0.127], [0.374, 0.124, 0.997], [0.250, 0.500, 0.750]]}



{"formula": "MgW2Cl", "functional": "PBE", "state": "optimized geometry", "rho_g_cm3": 10.48, "magnetic_moment_mub_per_cell": 0.0, "de_polymorph_ev_per_atom": 0.641, "raw_formation_energy_ev_per_atom": 0.786, "lattice_angstrom": [[-0.827, -0.973, -2.557], [-0.095, -1.813, 2.207], [-8.791, 2.679, 1.822]], "species": ["W", "W", "Cl", "Mg"], "fractional_positions": [[0.000, 0.000, 0.489], [0.000, 0.000, 0.011], [0.500, 0.500, 0.250], [0.500, 0.500, 0.750]]}